P) This record from the Alexandria database describes a geometry-optimized PrDy3In structure. The functional is PBE-GGA.

Computed properties:
- magnetic moment (μB per cell) = 0.00
- symmetry = No. 63
- volume (Å³/cell) = 302

Cell: 12.9008 12.9008 4.8672 Å, 90.00 90.00 158.14°
With the nearest neighbours (Å) after each atom.
Positions (direct):
Pr 0.1476 0.8524 0.7500  8 Dy 3.45-3.56, 4 In 3.45
Pr 0.8524 0.1476 0.2500  8 Dy 3.45-3.56, 4 In 3.45
Dy 0.0474 0.9526 0.2500  8 Dy 3.42-3.50, 2 Pr 3.52, 2 In 3.65
Dy 0.2502 0.7498 0.2500  4 In 3.43-3.45, 4 Dy 3.45, 4 Pr 3.56
Dy 0.4484 0.5516 0.2500  2 Pr 3.45, 8 Dy 3.45-3.57, 2 In 3.56
Dy 0.5516 0.4484 0.7500  2 Pr 3.45, 8 Dy 3.45-3.57, 2 In 3.56
Dy 0.7498 0.2502 0.7500  4 In 3.43-3.45, 4 Dy 3.45, 4 Pr 3.56
Dy 0.9526 0.0474 0.7500  8 Dy 3.42-3.50, 2 Pr 3.52, 2 In 3.65
In 0.3458 0.6542 0.7500  8 Dy 3.43-3.65, 4 Pr 3.45
In 0.6542 0.3458 0.2500  8 Dy 3.43-3.65, 4 Pr 3.45

Q) This record from the Alexandria database describes a geometry-optimized PrDy3In structure. The functional is PBE-GGA.

Computed properties:
- magnetic moment (μB per cell) = 0.00
- symmetry = No. 62
- volume (Å³/cell) = 630

Cell: 10.4957 5.4162 11.0904 Å, 90.00 90.00 90.00°
With the nearest neighbours (Å) after each atom.
Positions (direct):
Pr 0.2226 0.2500 0.0164  6 Dy 3.40-3.49
Pr 0.2774 0.7500 0.5164  6 Dy 3.40-3.49
Pr 0.7226 0.2500 0.4836  6 Dy 3.40-3.49
Pr 0.7774 0.7500 0.9836  6 Dy 3.40-3.49
Dy 0.0914 0.2500 0.6092  3 In 3.04-3.27, 2 Dy 3.14-3.33
Dy 0.0980 0.7500 0.1717  2 Dy 3.14-3.33, 2 In 3.27, 2 Pr 3.47
Dy 0.1349 0.7500 0.8505  2 In 3.01-3.06
Dy 0.3651 0.2500 0.3505  2 In 3.01-3.06
Dy 0.4020 0.2500 0.6717  2 Dy 3.14-3.33, 2 In 3.27, 2 Pr 3.47
Dy 0.4086 0.7500 0.1092  3 In 3.04-3.27, 2 Dy 3.14-3.33
Dy 0.5914 0.2500 0.8908  3 In 3.04-3.27, 2 Dy 3.14-3.33
Dy 0.5980 0.7500 0.3283  2 Dy 3.14-3.33, 2 In 3.27, 2 Pr 3.47
Dy 0.6349 0.7500 0.6495  2 In 3.01-3.06
Dy 0.8651 0.2500 0.1495  2 In 3.01-3.06
Dy 0.9020 0.2500 0.8283  2 Dy 3.14-3.33, 2 In 3.27, 2 Pr 3.47
Dy 0.9086 0.7500 0.3908  3 In 3.04-3.27, 2 Dy 3.14-3.33
In 0.0736 0.2500 0.3353  7 Dy 3.01-3.27
In 0.4264 0.7500 0.8353  7 Dy 3.01-3.27
In 0.5736 0.2500 0.1647  7 Dy 3.01-3.27
In 0.9264 0.7500 0.6647  7 Dy 3.01-3.27

What should be chosen as the most stable of them? Choose P).

P) This record from the Alexandria database describes a geometry-optimized PrDyIn3 structure. The functional is PBE-GGA.

Computed properties:
- magnetic moment (μB per cell) = 0.66
- symmetry = No. 63
- volume (Å³/cell) = 275

Cell: 14.9610 14.9610 4.9283 Å, 90.00 90.00 165.57°
With the nearest neighbours (Å) after each atom.
Positions (direct):
Pr 0.0744 0.9256 0.7500  12 In 3.41-3.65, 2 Pr 3.76
Pr 0.9256 0.0744 0.2500  12 In 3.41-3.65, 2 Pr 3.76
Dy 0.2130 0.7870 0.2500  7 In 3.19-3.28
Dy 0.7870 0.2130 0.7500  7 In 3.19-3.28
In 0.3204 0.6796 0.2500  2 In 2.99, 5 Dy 3.19-3.25
In 0.3773 0.6227 0.7500  3 In 2.90-2.99
In 0.4752 0.5248 0.7500  3 In 2.87-2.90
In 0.5248 0.4752 0.2500  3 In 2.87-2.90
In 0.6227 0.3773 0.2500  3 In 2.90-2.99
In 0.6796 0.3204 0.7500  2 In 2.99, 5 Dy 3.19-3.25

Q) This record from the Alexandria database describes a geometry-optimized PrDyIn3 structure. The functional is PBE-GGA.

Computed properties:
- magnetic moment (μB per cell) = 0.00
- symmetry = No. 63
- volume (Å³/cell) = 291

Cell: 8.9313 8.9313 5.6190 Å, 90.00 90.00 139.55°
With the nearest neighbours (Å) after each atom.
Positions (direct):
Pr 0.1967 0.8033 0.7500  8 In 3.23-3.58
Pr 0.8033 0.1967 0.2500  8 In 3.23-3.58
Dy 0.4328 0.5672 0.2500  10 In 3.35-3.63, 2 Dy 3.60
Dy 0.5672 0.4328 0.7500  10 In 3.35-3.63, 2 Dy 3.60
In 0.0000 0.0000 0.0000  6 In 2.81-3.07
In 0.0000 0.0000 0.5000  6 In 2.81-3.07
In 0.1316 0.3941 0.7500  4 In 2.93-3.25, 1 Pr 3.23
In 0.3941 0.1316 0.2500  4 In 2.93-3.25, 1 Pr 3.23
In 0.6059 0.8684 0.7500  4 In 2.93-3.25, 1 Pr 3.23
In 0.8684 0.6059 0.2500  4 In 2.93-3.25, 1 Pr 3.23

What should be chosen as the most stable of them? Choose P).

P) This record from the Alexandria database describes a geometry-optimized Pr3Dy2In2 structure. The functional is PBE-GGA.

Computed properties:
- magnetic moment (μB per cell) = 0.00
- symmetry = No. 65
- volume (Å³/cell) = 215

Cell: 12.4407 12.4407 3.5482 Å, 90.00 90.00 156.91°
With the nearest neighbours (Å) after each atom.
Positions (direct):
Pr 0.0000 0.0000 0.0000  4 Pr 3.46-3.55, 8 In 3.52
Pr 0.1418 0.8582 0.0000  3 Pr 3.46-3.55, 4 In 3.50, 4 Dy 3.51
Pr 0.8582 0.1418 0.0000  3 Pr 3.46-3.55, 4 In 3.50, 4 Dy 3.51
Dy 0.2876 0.7124 0.5000  2 Dy 3.09, 1 In 3.43
Dy 0.7124 0.2876 0.5000  2 Dy 3.09, 1 In 3.43
In 0.4284 0.5716 0.5000  1 Dy 3.43, 3 In 3.49-3.55, 8 Pr 3.50-3.52
In 0.5716 0.4284 0.5000  1 Dy 3.43, 3 In 3.49-3.55, 8 Pr 3.50-3.52

Q) This record from the Alexandria database describes a geometry-optimized Pr3Dy2In2 structure. The functional is PBE-GGA.

Computed properties:
- magnetic moment (μB per cell) = 0.00
- symmetry = No. 12
- volume (Å³/cell) = 217

Cell: 8.7464 8.7464 8.0787 Å, 117.17 117.17 23.41°
With the nearest neighbours (Å) after each atom.
Positions (direct):
Pr 0.0000 0.0000 0.0000  4 Pr 3.24-3.55, 4 In 3.38, 2 Dy 3.39
Pr 0.2105 0.2105 0.1355  5 Pr 3.24-3.55, 3 In 3.44-3.51, 3 Dy 3.58-3.61
Pr 0.7895 0.7895 0.8645  5 Pr 3.24-3.55, 3 In 3.44-3.51, 3 Dy 3.58-3.61
Dy 0.1264 0.1264 0.4705  4 In 3.27-3.43, 4 Pr 3.39-3.61, 2 Dy 3.55
Dy 0.8736 0.8736 0.5295  4 In 3.27-3.43, 4 Pr 3.39-3.61, 2 Dy 3.55
In 0.4328 0.4328 0.2665  4 Dy 3.27-3.43, 5 Pr 3.38-3.51, 3 In 3.38-3.55
In 0.5672 0.5672 0.7335  4 Dy 3.27-3.43, 5 Pr 3.38-3.51, 3 In 3.38-3.55

What should be chosen as the most stable of them? Choose P).

P) This record from the Alexandria database describes a geometry-optimized Dy2InPt structure. The functional is PBE-GGA.

Computed properties:
- magnetic moment (μB per cell) = 0.00
- symmetry = No. 166
- volume (Å³/cell) = 109

Cell: 8.6318 8.6318 8.6318 Å, 26.02 26.02 26.02°
With the nearest neighbours (Å) after each atom.
Positions (direct):
Dy 0.2349 0.2349 0.2349  3 Pt 2.82
Dy 0.7651 0.7651 0.7651  3 Pt 2.82
In 0.0000 0.0000 0.0000  6 Dy 3.33
Pt 0.5000 0.5000 0.5000  6 Dy 2.82

Q) This record from the Alexandria database describes a geometry-optimized Dy2InPt structure. The functional is PBE-GGA.

Computed properties:
- magnetic moment (μB per cell) = 0.00
- symmetry = No. 225
- volume (Å³/cell) = 95

Cell: 5.1282 5.1282 5.1282 Å, 60.00 60.00 60.00°
With the nearest neighbours (Å) after each atom.
Positions (direct):
Dy 0.2500 0.2500 0.2500  4 In 3.14, 4 Pt 3.14
Dy 0.7500 0.7500 0.7500  4 Pt 3.14, 4 In 3.14
In 0.0000 0.0000 0.0000  8 Dy 3.14
Pt 0.5000 0.5000 0.5000  8 Dy 3.14

R) This record from the Alexandria database describes a geometry-optimized Dy2InPt structure. The functional is PBE-GGA.

Computed properties:
- magnetic moment (μB per cell) = 0.00
- symmetry = No. 123
- volume (Å³/cell) = 96

Cell: 3.5175 3.5175 7.7737 Å, 90.00 90.00 90.00°
With the nearest neighbours (Å) after each atom.
Positions (direct):
Dy 0.0000 0.0000 0.2188  4 Pt 3.01, 4 In 3.31
Dy 0.0000 0.0000 0.7812  4 Pt 3.01, 4 In 3.31
In 0.5000 0.5000 0.5000  8 Dy 3.31, 4 In 3.52
Pt 0.5000 0.5000 0.0000  8 Dy 3.01

What should be chosen as the most stable of them? Choose R).

P) This record from the Alexandria database describes a geometry-optimized DyPu2In structure. The functional is PBE-GGA.

Computed properties:
- magnetic moment (μB per cell) = 12.46
- symmetry = No. 225
- volume (Å³/cell) = 110

Cell: 5.3811 5.3811 5.3811 Å, 60.00 60.00 60.00°
With the nearest neighbours (Å) after each atom.
Positions (direct):
Dy 0.0000 0.0000 0.0000  8 Pu 3.30
Pu 0.2500 0.2500 0.2500  4 In 3.30, 4 Dy 3.30
Pu 0.7500 0.7500 0.7500  4 In 3.30, 4 Dy 3.30
In 0.5000 0.5000 0.5000  8 Pu 3.30

Q) This record from the Alexandria database describes a geometry-optimized DyPu2In structure. The functional is PBE-GGA.

Computed properties:
- magnetic moment (μB per cell) = 11.94
- symmetry = No. 123
- volume (Å³/cell) = 106

Cell: 4.5451 4.5451 5.1431 Å, 90.00 90.00 90.00°
With the nearest neighbours (Å) after each atom.
Positions (direct):
Dy 0.0000 0.0000 0.0000  4 In 3.21, 8 Pu 3.43
Pu 0.0000 0.5000 0.5000  4 Pu 3.21, 4 In 3.43, 4 Dy 3.43
Pu 0.5000 0.0000 0.5000  4 Pu 3.21, 4 In 3.43, 4 Dy 3.43
In 0.5000 0.5000 0.0000  4 Dy 3.21, 8 Pu 3.43

What should be chosen as the most stable of them? Choose Q).

P) This record from the Alexandria database describes a geometry-optimized DyPuIn6 structure. The functional is PBE-GGA.

Computed properties:
- magnetic moment (μB per cell) = 5.62
- symmetry = No. 38
- volume (Å³/cell) = 201

Cell: 5.2768 6.6325 6.6325 Å, 59.99 90.00 90.00°
With the nearest neighbours (Å) after each atom.
Positions (direct):
Dy 0.0000 0.0000 0.0000  12 In 3.29-3.32
Pu 0.5000 0.6668 0.6668  12 In 3.29-3.32
In 0.0000 0.0109 0.4949  8 In 3.21-3.42, 2 Pu 3.30, 2 Dy 3.31-3.32
In 0.0000 0.4949 0.0109  8 In 3.21-3.42, 2 Pu 3.30, 2 Dy 3.31-3.32
In 0.0000 0.4962 0.4962  8 In 3.22-3.41, 2 Pu 3.29, 2 Dy 3.32
In 0.5000 0.1705 0.1705  8 In 3.23-3.40, 2 Dy 3.29, 2 Pu 3.32
In 0.5000 0.1705 0.6585  8 In 3.23-3.40, 2 Dy 3.29, 2 Pu 3.31-3.32
In 0.5000 0.6585 0.1705  8 In 3.23-3.40, 2 Dy 3.29, 2 Pu 3.31-3.32

Q) This record from the Alexandria database describes a geometry-optimized DyPuIn6 structure. The functional is PBE-GGA.

Computed properties:
- magnetic moment (μB per cell) = 5.70
- symmetry = No. 123
- volume (Å³/cell) = 200

Cell: 4.6422 4.6422 9.3001 Å, 90.00 90.00 90.00°
With the nearest neighbours (Å) after each atom.
Positions (direct):
Dy 0.0000 0.0000 0.0000  12 In 3.28-3.29
Pu 0.0000 0.0000 0.5000  12 In 3.28
In 0.0000 0.5000 0.2501  8 In 3.28-3.29, 2 Pu 3.28, 2 Dy 3.29
In 0.0000 0.5000 0.7499  8 In 3.28-3.29, 2 Pu 3.28, 2 Dy 3.29
In 0.5000 0.0000 0.2501  8 In 3.28-3.29, 2 Pu 3.28, 2 Dy 3.29
In 0.5000 0.0000 0.7499  8 In 3.28-3.29, 2 Pu 3.28, 2 Dy 3.29
In 0.5000 0.5000 0.0000  4 Dy 3.28, 8 In 3.29
In 0.5000 0.5000 0.5000  4 Pu 3.28, 8 In 3.28

What should be chosen as the most stable of them? Choose Q).